Density functional theory data (PBE) for an optimized crystal structure of ThSc2Rh.

Results
**Total moment**: 0.00 μB/cell
**Energy above the most stable polymorph in this dataset**: 0.000 eV per atom

a b c (Å): 6.946 9.123 6.066
angles (deg): 90.00 90.00 90.00
Space group Pnma (No. 62)
Asymmetric unit:
Th  0.035  0.250  0.141 (multiplicity 4)
Sc  0.179  0.063  0.657 (multiplicity 8)
Rh  0.122  0.750  0.425 (multiplicity 4)


Density functional theory data (PBE) for an optimized crystal structure of ThScRh.

Results
**Total moment**: 0.00 μB/cell
**Energy above the most stable polymorph in this dataset**: 0.049 eV per atom

a b c (Å): 6.595 6.293 8.989
angles (deg): 90.00 127.61 90.00
Space group P2_1/c (No. 14)
Asymmetric unit:
Th  0.215  0.144  0.411 (multiplicity 4)
Sc  0.293  0.638  0.600 (multiplicity 4)
Rh  0.290  0.574  0.303 (multiplicity 4)


Density functional theory data (PBE) for an optimized crystal structure of ThScRh.

Results
**Total moment**: 0.00 μB/cell
**Energy above the most stable polymorph in this dataset**: 0.119 eV per atom

a b c (Å): 6.752 6.752 6.752
angles (deg): 90.00 90.00 90.00
Space group F-43m (No. 216)
Asymmetric unit:
Th  0.000  0.000  0.000 (multiplicity 4)
Sc  0.000  0.000  0.500 (multiplicity 4)
Rh  0.250  0.250  0.750 (multiplicity 4)